Entry 1:
# Pm5SmPb6

An optimized crystal structure of Pm5SmPb6 (PBE, Alexandria via LeMat-Bulk).

Calculated values
The calculation puts the energy above the most stable polymorph in this dataset at 0 meV per atom. As for the symmetry: C2/m (12).

Cell: 5.037 9.174 9.308 Å, 60.48 74.04 90.00°
Fractional positions:
Pm 0.334 0.833 0.333
Pm 0.333 0.333 0.333
Pm 0.667 0.667 0.667
Pm 0.666 0.167 0.667
Pm 0.000 0.500 0.000
Pb 0.500 0.751 0.000
Pb 0.166 0.416 0.667
Pb 0.834 0.083 0.333
Pb 0.834 0.584 0.333
Pb 0.500 0.249 0.000
Pb 0.166 0.917 0.667
Sm 0.000 0.000 0.000

---

Entry 2:
# CaLaBi6

An optimized crystal structure of CaLaBi6 (PBE, Alexandria via LeMat-Bulk).

Calculated values
As for the symmetry: P4/mmm (123). The value obtained for the uncorrected energy is -4.2487 eV/atom.

Cell: 4.905 4.905 10.460 Å, 90.00 90.00 90.00°
Fractional positions:
Bi 0.500 0.500 0.500
Bi 0.500 0.500 0.000
Bi 0.500 0.000 0.753
Bi 0.000 0.500 0.753
Bi 0.500 0.000 0.247
Bi 0.000 0.500 0.247
Ca 0.000 0.000 0.000
La 0.000 0.000 0.500

---

Entry 3:
# POsPbO2

An optimized crystal structure of POsPbO2 (PBE, Alexandria via LeMat-Bulk).

Calculated values
The calculation puts the energy above the most stable polymorph in this dataset at 0 meV per atom. As for the symmetry: P4/mmm (123).

Cell: 3.915 3.915 5.141 Å, 90.00 90.00 90.00°
Fractional positions:
O 0.000 0.500 0.000
O 0.500 0.000 0.000
P 0.000 0.000 0.500
Pb 0.500 0.500 0.500
Os 0.000 0.000 0.000

---

| no. | size of the total moment (μB/f.u.) |
| --- | --- |
| 1 | 0.00 |
| 2 | 0.00 |
| 3 | 0.75 |